BaCoPO, optimized geometry, DFT PBE with a Hubbard U; energy relative to the lowest polymorph listed for this composition = 1117 meV/atom; raw total energy = -4.189 eV per atom
1.0
-2.5397 3.7375 0.1249
-1.0669 -0.5794 -4.3544
-7.2772 -5.0271 2.4520
Ba Co P O
2 2 2 2
direct
0.2500 0.7500 0.5000
0.7500 0.2500 0.5000
0.7500 0.7500 0.0326
0.2500 0.2500 0.9674
0.7500 0.7500 0.2834
0.2500 0.2500 0.7166
0.7500 0.2500 0.0000
0.2500 0.7500 0.0000